The following is a DFT calculation (PBE) of a relaxed AgRh2Au crystal.

Cell lengths 4.8587, 2.8140, 4.9341 Å; angles 90.00, 109.12, 90.00 degrees
Space group P2/m (No. 10)
Inequivalent atoms, fractional coordinates:
1 Ag 0.0000 0.0000 0.0000 x1
2 Rh 0.0000 0.5000 0.5000 x1
3 Rh 0.5000 0.0000 0.5000 x1
4 Au 0.5000 0.5000 0.0000 x1

Computed properties:
Total DFT energy (no corrections) = -4.991 eV per atom
Polymorph energy (0 for the lowest one) = 0.1089 eV per atom

=====

The following is a DFT calculation (PBE) of a relaxed AgRh2Au crystal.

Cell lengths 4.0084, 4.0084, 7.9765 Å; angles 90.00, 90.00, 90.00 degrees
Space group I-4m2 (No. 119)
Inequivalent atoms, fractional coordinates:
1 Ag 0.0000 0.0000 0.0000 x2
2 Rh 0.0000 0.0000 0.5000 x2
3 Rh 0.0000 0.5000 0.2500 x2
4 Au 0.0000 0.5000 0.7500 x2

Computed properties:
Total DFT energy (no corrections) = -4.978 eV per atom
Polymorph energy (0 for the lowest one) = 0.1218 eV per atom

=====

The following is a DFT calculation (PBE) of a relaxed AgRhAu crystal.

Cell lengths 2.8138, 2.8138, 12.5957 Å; angles 90.00, 90.00, 90.00 degrees
Space group I4mm (No. 107)
Inequivalent atoms, fractional coordinates:
1 Ag 0.0000 0.0000 0.0000 x2
2 Rh 0.0000 0.0000 0.6635 x2
3 Au 0.0000 0.0000 0.3256 x2

Computed properties:
Total DFT energy (no corrections) = -4.312 eV per atom
Polymorph energy (0 for the lowest one) = 0.0959 eV per atom

=====

The following is a DFT calculation (PBE) of a relaxed AgRh2Au crystal.

Cell lengths 7.3220, 7.3220, 5.3248 Å; angles 90.00, 90.00, 90.00 degrees
Space group I-42d (No. 122)
Inequivalent atoms, fractional coordinates:
1 Ag 0.0000 0.0000 0.0000 x4
2 Rh 0.2458 0.7500 0.6250 x8
3 Au 0.0000 0.0000 0.5000 x4

Computed properties:
Total DFT energy (no corrections) = -4.525 eV per atom
Polymorph energy (0 for the lowest one) = 0.5747 eV per atom

=====

The following is a DFT calculation (PBE) of a relaxed Ag4RhAu crystal.

Cell lengths 7.5654, 7.5654, 7.5654 Å; angles 90.00, 90.00, 90.00 degrees
Space group F-43m (No. 216)
Inequivalent atoms, fractional coordinates:
1 Ag 0.1252 0.1252 0.1252 x16
2 Rh 0.0000 0.0000 0.5000 x4
3 Au 0.2500 0.2500 0.7500 x4

Computed properties:
Total DFT energy (no corrections) = -3.306 eV per atom

=====

The following is a DFT calculation (PBE) of a relaxed Ag3RhAu crystal.

Cell lengths 5.0035, 5.0035, 5.0035 Å; angles 90.00, 90.00, 90.00 degrees
Space group Pm-3m (No. 221)
Inequivalent atoms, fractional coordinates:
1 Ag 0.0000 0.0000 0.5000 x3
2 Rh 0.0000 0.0000 0.0000 x1
3 Au 0.5000 0.5000 0.5000 x1

Computed properties:
Total DFT energy (no corrections) = -2.709 eV per atom
Polymorph energy (0 for the lowest one) = 0.0000 eV per atom

=====

| no. | density (g cm⁻³) | DFT formation energy (eV/atom) |
| --- | --- | --- |
| 1 | 13.3 | 0.22 |
| 2 | 13.2 | 0.23 |
| 3 | 13.6 | 0.18 |
| 4 | 11.9 | 0.68 |
| 5 | 11.2 | 0.37 |
| 6 | 8.3 | 1.13 |